DFT (PBE-GGA) results for CaRh3N after structural relaxation.

Calculated values
Volume, Å³ per atom: 14.6
Excess energy over the best structure of this formula in the dataset, eV/atom: 0.000
Electronic total energy, eV per atom: -6.6280
Magnetization, Bohr magnetons per cell: 0.0
Energy relative to the elements, uncorrected, eV/atom: -0.152

a = 4.182 Å, b = 4.182 Å, c = 4.182 Å
α = 90.00°, β = 90.00°, γ = 90.00°
Atoms (fractional coordinates):
Ca1 0.000 0.000 0.000
Rh1 0.000 0.500 0.500
Rh2 0.500 0.000 0.500
Rh3 0.500 0.500 0.000
N1 0.500 0.500 0.500


DFT (PBE-GGA) results for Ca2RhN after structural relaxation.

Calculated values
Volume, Å³ per atom: 23.1
Electronic total energy, eV per atom: -5.4375
Magnetization, Bohr magnetons per cell: 0.0
Energy relative to the elements, uncorrected, eV/atom: -0.517

a = 7.191 Å, b = 7.191 Å, c = 7.191 Å
α = 94.10°, β = 94.10°, γ = 148.98°
Atoms (fractional coordinates):
Ca1 0.375 0.071 0.196
Ca2 0.821 0.625 0.696
Ca3 0.875 0.179 0.804
Ca4 0.929 0.125 0.304
Rh1 0.250 0.750 0.500
Rh2 0.500 0.500 0.000
N1 0.000 0.000 0.000
N2 0.750 0.250 0.500


DFT (PBE-GGA) results for Ca5Rh2N6 after structural relaxation.

Calculated values
Volume, Å³ per atom: 15.2
Electronic total energy, eV per atom: -6.1917
Magnetization, Bohr magnetons per cell: 0.0
Energy relative to the elements, uncorrected, eV/atom: -0.448

a = 6.075 Å, b = 6.075 Å, c = 12.102 Å
α = 102.64°, β = 102.64°, γ = 66.50°
Atoms (fractional coordinates):
Ca1 0.102 0.898 0.750
Ca2 0.186 0.694 0.000
Ca3 0.223 0.446 0.267
Ca4 0.306 0.814 0.500
Ca5 0.446 0.223 0.767
Ca6 0.554 0.777 0.233
Ca7 0.694 0.186 0.500
Ca8 0.777 0.554 0.733
Ca9 0.814 0.306 0.000
Ca10 0.898 0.102 0.250
Rh1 0.192 0.334 0.537
Rh2 0.334 0.192 0.037
Rh3 0.666 0.808 0.963
Rh4 0.808 0.666 0.463
N1 0.082 0.184 0.629
N2 0.154 0.272 0.894
N3 0.184 0.082 0.129
N4 0.272 0.154 0.394
N5 0.394 0.502 0.625
N6 0.498 0.606 0.875
N7 0.502 0.394 0.125
N8 0.606 0.498 0.375
N9 0.728 0.846 0.606
N10 0.816 0.918 0.871
N11 0.846 0.728 0.106
N12 0.918 0.816 0.371


DFT (PBE-GGA) results for Ca3Rh2N4 after structural relaxation.

Calculated values
Volume, Å³ per atom: 14.3
Electronic total energy, eV per atom: -6.3203
Magnetization, Bohr magnetons per cell: 0.0
Energy relative to the elements, uncorrected, eV/atom: -0.319

a = 6.969 Å, b = 6.969 Å, c = 5.400 Å
α = 90.53°, β = 90.53°, γ = 78.83°
Atoms (fractional coordinates):
Ca1 0.096 0.904 0.750
Ca2 0.237 0.527 0.453
Ca3 0.473 0.763 0.047
Ca4 0.527 0.237 0.953
Ca5 0.763 0.473 0.547
Ca6 0.904 0.096 0.250
Rh1 0.101 0.338 0.912
Rh2 0.338 0.101 0.412
Rh3 0.662 0.899 0.588
Rh4 0.899 0.662 0.088
N1 0.079 0.237 0.564
N2 0.222 0.565 0.977
N3 0.237 0.079 0.064
N4 0.435 0.778 0.523
N5 0.565 0.222 0.477
N6 0.763 0.921 0.936
N7 0.778 0.435 0.023
N8 0.921 0.763 0.436


DFT (PBE-GGA) results for CaRhN3 after structural relaxation.

Calculated values
Volume, Å³ per atom: 14.0
Electronic total energy, eV per atom: -4.2946
Magnetization, Bohr magnetons per cell: 0.0
Energy relative to the elements, uncorrected, eV/atom: 2.571

a = 4.122 Å, b = 4.122 Å, c = 4.122 Å
α = 90.00°, β = 90.00°, γ = 90.00°
Atoms (fractional coordinates):
Ca1 0.000 0.000 0.000
Rh1 0.500 0.500 0.500
N1 0.000 0.000 0.500
N2 0.000 0.500 0.000
N3 0.500 0.000 0.000


DFT (PBE-GGA) results for Ca3RhN3 after structural relaxation.

Calculated values
Volume, Å³ per atom: 16.6
Electronic total energy, eV per atom: -6.0722
Magnetization, Bohr magnetons per cell: 0.0
Energy relative to the elements, uncorrected, eV/atom: -0.596

a = 7.355 Å, b = 7.355 Å, c = 4.969 Å
α = 90.00°, β = 90.00°, γ = 120.00°
Atoms (fractional coordinates):
Ca1 0.095 0.360 0.250
Ca2 0.266 0.905 0.250
Ca3 0.360 0.266 0.750
Ca4 0.640 0.734 0.250
Ca5 0.734 0.095 0.750
Ca6 0.905 0.640 0.750
Rh1 0.333 0.667 0.750
Rh2 0.667 0.333 0.250
N1 0.100 0.385 0.750
N2 0.284 0.900 0.750
N3 0.385 0.284 0.250
N4 0.615 0.716 0.750
N5 0.716 0.100 0.250
N6 0.900 0.615 0.250